1.
A plane-wave DFT calculation with PBE-GGA was carried out for a geometry-optimized Ir2Pt structure.

Cell: 2.7735 3.8939 8.2721 Å, 90.00 90.00 90.00°
With the nearest neighbours (Å) after each atom.
Space group Immm (No. 71)
Unique sites:
Ir 0.0000 0.0000 0.1697 x4  5 Pt 2.73-2.77, 7 Ir 2.73-2.81
Pt 0.0000 0.0000 0.5000 x2  10 Ir 2.73-2.77, 2 Pt 2.77

Results
Polymorph energy (0 for the lowest one) (meV/atom): 33
DOS(E_F) (states/eV/f.u.): 4.02
Magnetic moment (μB/cell): 0.00
DFT formation energy (kJ per mole of atoms): 6.14
Uncorrected energy (eV per atom): -7.857

---

2.
A plane-wave DFT calculation with PBE-GGA was carried out for a geometry-optimized Ir2Pt5 structure.

Cell: 9.0735 2.7630 9.0683 Å, 90.00 105.22 90.00°
With the nearest neighbours (Å) after each atom.
Space group C2/m (No. 12)
Unique sites:
Ir 0.1536 0.0000 0.0557 x4  5 Ir 2.63-2.76, 6 Pt 2.66-2.82
Pt 0.0000 0.0000 0.5000 x2  12 Pt 2.75-2.92
Pt 0.0336 0.5000 0.7911 x4  5 Ir 2.73-2.82, 7 Pt 2.76-2.92
Pt 0.2347 0.0000 0.3596 x4  1 Ir 2.66, 10 Pt 2.75-2.85

Results
DOS(E_F) (states/eV/f.u.): 10.38
Magnetic moment (μB/cell): 0.00
DFT formation energy (kJ per mole of atoms): 8.15
Uncorrected energy (eV per atom): -6.762

---

3.
A plane-wave DFT calculation with PBE-GGA was carried out for a geometry-optimized IrPt structure.

Cell: 2.7451 2.7451 14.4021 Å, 90.00 90.00 120.00°
With the nearest neighbours (Å) after each atom.
Space group R3m (No. 160, hexagonal axes)
Unique sites:
Ir 0.0000 0.0000 0.0000 x3  4 Pt 2.55-2.75, 6 Ir 2.75
Pt 0.0000 0.0000 0.1769 x3  4 Ir 2.55-2.75, 6 Pt 2.75

Results
DOS(E_F) (states/eV/f.u.): 2.16
Magnetic moment (μB/cell): 0.00
DFT formation energy (kJ per mole of atoms): 17.14
Uncorrected energy (eV per atom): -7.273

---

4.
A plane-wave DFT calculation with PBE-GGA was carried out for a geometry-optimized IrPt structure.

Cell: 6.9218 6.9218 6.9218 Å, 90.00 90.00 90.00°
With the nearest neighbours (Å) after each atom.
Space group Pm-3n (No. 223)
Unique sites:
Ir 0.0000 0.2500 0.5000 x6  4 Pt 2.45
Pt 0.0000 0.5000 0.2500 x6  4 Ir 2.45

Results
DOS(E_F) (states/eV/f.u.): 2.29
Magnetic moment (μB/cell): 0.00
DFT formation energy (kJ per mole of atoms): 104.89
Uncorrected energy (eV per atom): -6.364

---

5.
A plane-wave DFT calculation with PBE-GGA was carried out for a geometry-optimized Ir2Pt3 structure.

Cell: 2.7783 2.7783 34.1500 Å, 90.00 90.00 120.00°
With the nearest neighbours (Å) after each atom.
Space group R-3m (No. 166, hexagonal axes)
Unique sites:
Ir 0.0000 0.0000 0.1980 x6  9 Ir 2.68-2.78, 3 Pt 2.78
Pt 0.0000 0.0000 0.0000 x3  12 Pt 2.78-2.85
Pt 0.0000 0.0000 0.4022 x6  9 Pt 2.78-2.85, 3 Ir 2.78

Results
Polymorph energy (0 for the lowest one) (meV/atom): 0
DOS(E_F) (states/eV/f.u.): 7.12
Magnetic moment (μB/cell): 0.00
DFT formation energy (kJ per mole of atoms): 1.22
Uncorrected energy (eV per atom): -7.156

---

6.
A plane-wave DFT calculation with PBE-GGA was carried out for a geometry-optimized Pu6IrPt4 structure.

Cell: 5.6664 5.6664 15.7047 Å, 90.00 90.00 90.00°
With the nearest neighbours (Å) after each atom.
Space group I-42m (No. 121)
Unique sites:
Pu 0.0000 0.5000 0.0000 x4  2 Ir 2.83, 4 Pt 2.98
Pu 0.1942 0.1942 0.1766 x8  5 Pt 2.92-3.05, 1 Pu 3.11, 1 Ir 3.18
Ir 0.0000 0.0000 0.0000 x2  4 Pu 2.83
Pt 0.1830 0.1830 0.3637 x8  7 Pu 2.92-3.05, 1 Pt 2.93

Results
DOS(E_F) (states/eV/f.u.): 42.94
Magnetic moment (μB/cell): 65.27
DFT formation energy (kJ per mole of atoms): -58.33
Uncorrected energy (eV per atom): -11.424

---

7.
A plane-wave DFT calculation with PBE-GGA was carried out for a geometry-optimized Pu8Ir2Pt3 structure.

Cell: 4.7146 7.7108 8.3992 Å, 101.27 90.24 107.38°
With the nearest neighbours (Å) after each atom.
Space group P-1 (No. 2)
Unique sites:
Pu 0.0599 0.1064 0.3706 x2  4 Pu 2.93-3.24, 2 Ir 2.99, 3 Pt 3.03-3.05
Pu 0.2070 0.4133 0.0763 x2  3 Pu 2.81-3.09, 1 Ir 2.95, 3 Pt 2.95-2.98
Pu 0.2769 0.5545 0.4131 x2  3 Pu 2.81-2.98, 2 Ir 2.86-2.88, 1 Pt 2.94
Pu 0.4394 0.8761 0.1606 x2  4 Pt 2.95-3.30, 2 Ir 2.99-3.02, 2 Pu 3.19-3.23
Ir 0.1545 0.3086 0.7174 x2  7 Pu 2.86-3.02, 1 Pt 2.92
Pt 0.0000 0.0000 0.0000 x1  8 Pu 2.95-3.05
Pt 0.3540 0.7133 0.7643 x2  1 Ir 2.92, 8 Pu 2.94-3.24

Results
DOS(E_F) (states/eV/f.u.): 56.28
Magnetic moment (μB/cell): 0.14
DFT formation energy (kJ per mole of atoms): -39.89
Uncorrected energy (eV per atom): -11.990

---

8.
A plane-wave DFT calculation with PBE-GGA was carried out for a geometry-optimized Pu3IrPt structure.

Cell: 5.9323 5.0487 14.5476 Å, 90.00 90.00 90.00°
With the nearest neighbours (Å) after each atom.
Space group Pnma (No. 62)
Unique sites:
Pu 0.0186 0.2500 0.1322 x4  3 Ir 2.78-2.85, 3 Pt 2.89-3.11
Pu 0.1025 0.7500 0.4589 x4  2 Ir 2.94-3.01, 2 Pu 3.05, 3 Pt 3.07-3.10
Pu 0.1970 0.2500 0.7403 x4  1 Ir 2.92, 2 Pu 2.98, 2 Pt 3.10
Ir 0.0961 0.7500 0.0581 x4  6 Pu 2.78-3.01
Pt 0.0371 0.2500 0.3382 x4  8 Pu 2.89-3.11

Results
Polymorph energy (0 for the lowest one) (meV/atom): 0
DOS(E_F) (states/eV/f.u.): 20.72
Magnetic moment (μB/cell): 21.22
DFT formation energy (kJ per mole of atoms): -45.04
Uncorrected energy (eV per atom): -12.046